Entry 1:
The following is a DFT calculation (PBE) of a relaxed structure of PrThOsAu.

Values from the calculation:
The value obtained for the density of states at the Fermi level is 0.86 states/eV/atom. For the formation energy, the calculation gives -0.31 eV per atom. For the total energy, the calculation gives -6.9834 eV per atom.

a b c (Å): 5.1463 5.1463 5.1463
angles (deg): 60.00 60.00 60.00
Closest atoms and distances in Å follow each position.
Fractional positions:
Pr  0.7500  0.7500  0.7500  4 Os 3.15, 4 Au 3.15
Os  0.0000  0.0000  0.0000  4 Th 3.15, 4 Pr 3.15
Au  0.5000  0.5000  0.5000  4 Th 3.15, 4 Pr 3.15
Th  0.2500  0.2500  0.2500  4 Os 3.15, 4 Au 3.15

Entry 2:
The following is a DFT calculation (PBE) of a relaxed structure of OsPtAu.

Values from the calculation:
The excess energy over the best structure of this formula in the dataset is 594 meV per atom. The value obtained for the density of states at the Fermi level is 1.33 states/eV/atom. For the formation energy, the calculation gives 0.88 eV per atom. For the total energy, the calculation gives -5.9718 eV per atom.

a b c (Å): 4.3234 4.3234 4.3234
angles (deg): 60.00 60.00 60.00
Closest atoms and distances in Å follow each position.
Fractional positions:
Au  0.5000  0.5000  0.5000  4 Os 2.65
Os  0.7500  0.7500  0.7500  4 Au 2.65, 4 Pt 2.65
Pt  0.0000  0.0000  0.0000  4 Os 2.65

Entry 3:
The following is a DFT calculation (PBE) of a relaxed structure of Os2PtAu.

Values from the calculation:
The excess energy over the best structure of this formula in the dataset is 194 meV per atom. The value obtained for the density of states at the Fermi level is 0.67 states/eV/atom. For the formation energy, the calculation gives 0.37 eV per atom. For the total energy, the calculation gives -7.5781 eV per atom.

a b c (Å): 4.8290 4.8290 4.8806
angles (deg): 80.97 80.97 33.36
Closest atoms and distances in Å follow each position.
Fractional positions:
Au  0.2520  0.2520  0.2563  3 Pt 2.71-2.83, 7 Os 2.75-2.89, 2 Au 2.77
Os  0.0078  0.0078  0.9726  5 Os 2.64-2.77, 4 Pt 2.71-2.91, 3 Au 2.84-2.89
Os  0.7447  0.7447  0.7719  5 Os 2.64-2.77, 4 Au 2.75-2.86, 3 Pt 2.84
Pt  0.4955  0.4955  0.4992  3 Au 2.71-2.83, 7 Os 2.71-2.91, 2 Pt 2.77

Entry 4:
The following is a DFT calculation (PBE) of a relaxed structure of OsPtAu2.

Values from the calculation:
The excess energy over the best structure of this formula in the dataset is 161 meV per atom. The value obtained for the density of states at the Fermi level is 1.11 states/eV/atom. For the formation energy, the calculation gives 0.40 eV per atom. For the total energy, the calculation gives -5.5555 eV per atom.

a b c (Å): 4.8702 4.8702 5.1341
angles (deg): 81.51 81.51 33.21
Closest atoms and distances in Å follow each position.
Fractional positions:
Au  0.9995  0.9995  0.9914  5 Au 2.73-2.87, 4 Os 2.84-3.00, 3 Pt 2.89-2.97
Au  0.7560  0.7560  0.7562  5 Au 2.73-2.87, 4 Pt 2.83-3.01, 3 Os 2.88-2.96
Os  0.5024  0.5024  0.4728  3 Pt 2.69-2.76, 2 Os 2.78, 7 Au 2.84-3.00
Pt  0.2421  0.2421  0.2796  3 Os 2.69-2.76, 2 Pt 2.78, 7 Au 2.83-3.01

Entry 5:
The following is a DFT calculation (PBE) of a relaxed structure of OsPtAu2.

Values from the calculation:
The excess energy over the best structure of this formula in the dataset is 321 meV per atom. The value obtained for the density of states at the Fermi level is 1.16 states/eV/atom. For the formation energy, the calculation gives 0.56 eV per atom. For the total energy, the calculation gives -5.3957 eV per atom.

a b c (Å): 4.9032 4.9032 4.9032
angles (deg): 130.91 130.91 71.95
Closest atoms and distances in Å follow each position.
Fractional positions:
Au  0.0000  0.0000  0.0000  4 Os 2.84, 4 Pt 2.84, 4 Au 2.88
Au  0.5000  0.5000  0.0000  4 Pt 2.84, 4 Os 2.84, 4 Au 2.88
Os  0.2500  0.7500  0.5000  8 Au 2.84, 4 Pt 2.88
Pt  0.7500  0.2500  0.5000  8 Au 2.84, 4 Os 2.88

Entry 6:
The following is a DFT calculation (PBE) of a relaxed structure of OsPt2Au.

Values from the calculation:
The excess energy over the best structure of this formula in the dataset is 232 meV per atom. The value obtained for the density of states at the Fermi level is 1.16 states/eV/atom. For the formation energy, the calculation gives 0.32 eV per atom. For the total energy, the calculation gives -6.3243 eV per atom.

a b c (Å): 2.7668 2.7668 9.7670
angles (deg): 90.00 90.00 120.36
Closest atoms and distances in Å follow each position.
Fractional positions:
Au  0.0000  0.0000  0.5029  6 Au 2.75-2.77, 2 Os 2.85, 2 Pt 2.87
Os  0.5000  0.5000  0.7583  2 Pt 2.69, 6 Os 2.75-2.77, 2 Au 2.85
Pt  0.0000  0.0000  0.9944  2 Os 2.69, 8 Pt 2.75-2.80
Pt  0.5000  0.5000  0.2444  8 Pt 2.75-2.80, 2 Au 2.87

Entry 7:
The following is a DFT calculation (PBE) of a relaxed structure of OsPtAu2.

Values from the calculation:
The excess energy over the best structure of this formula in the dataset is 682 meV per atom. The value obtained for the density of states at the Fermi level is 1.13 states/eV/atom. For the formation energy, the calculation gives 0.92 eV per atom. For the total energy, the calculation gives -5.0346 eV per atom.

a b c (Å): 7.3643 7.3643 5.8682
angles (deg): 51.14 51.14 90.00
Closest atoms and distances in Å follow each position.
Fractional positions:
Os  0.5000  0.5000  0.0000  4 Au 2.66, 2 Pt 2.71
Os  0.2500  0.7500  0.5000  4 Au 2.66, 2 Pt 2.71
Au  0.6189  0.1250  0.2500  2 Os 2.66, 2 Au 2.71, 2 Pt 2.72
Au  0.1311  0.6250  0.2500  2 Os 2.66, 2 Au 2.71, 2 Pt 2.72
Au  0.3750  0.3811  0.7500  2 Os 2.66, 2 Au 2.71, 2 Pt 2.72
Au  0.8750  0.8689  0.7500  2 Os 2.66, 2 Au 2.71, 2 Pt 2.72
Pt  0.0000  0.0000  0.0000  2 Os 2.71, 4 Au 2.72
Pt  0.7500  0.2500  0.5000  2 Os 2.71, 4 Au 2.72

Entry 8:
The following is a DFT calculation (PBE) of a relaxed structure of Os2PtAu.

Values from the calculation:
The excess energy over the best structure of this formula in the dataset is 596 meV per atom. The value obtained for the density of states at the Fermi level is 1.11 states/eV/atom. For the formation energy, the calculation gives 0.77 eV per atom. For the total energy, the calculation gives -7.1769 eV per atom.

a b c (Å): 4.4810 4.4810 4.4810
angles (deg): 60.00 60.00 60.00
Closest atoms and distances in Å follow each position.
Fractional positions:
Au  0.5000  0.5000  0.5000  4 Os 2.74, 4 Pt 2.74
Os  0.0000  0.0000  0.0000  4 Os 2.74, 4 Pt 2.74
Os  0.7500  0.7500  0.7500  4 Au 2.74, 4 Os 2.74
Pt  0.2500  0.2500  0.2500  4 Au 2.74, 4 Os 2.74

Entry 9:
The following is a DFT calculation (PBE) of a relaxed structure of OsPtAu2.

Values from the calculation:
The excess energy over the best structure of this formula in the dataset is 91 meV per atom. The value obtained for the density of states at the Fermi level is 0.63 states/eV/atom. For the formation energy, the calculation gives 0.33 eV per atom. For the total energy, the calculation gives -5.6257 eV per atom.

a b c (Å): 9.5393 9.5393 9.5393
angles (deg): 17.05 17.05 17.05
Closest atoms and distances in Å follow each position.
Fractional positions:
Au  0.9986  0.9986  0.9986  6 Au 2.83, 3 Os 2.83, 3 Pt 2.89
Au  0.5014  0.5014  0.5014  6 Au 2.83, 3 Os 2.83, 3 Pt 2.89
Os  0.2500  0.2500  0.2500  6 Os 2.83, 6 Au 2.83
Pt  0.7500  0.7500  0.7500  6 Pt 2.83, 6 Au 2.89

Entry 10:
The following is a DFT calculation (PBE) of a relaxed structure of Os2PtAu.

Values from the calculation:
The excess energy over the best structure of this formula in the dataset is 326 meV per atom. The value obtained for the density of states at the Fermi level is 0.78 states/eV/atom. For the formation energy, the calculation gives 0.50 eV per atom. For the total energy, the calculation gives -7.4470 eV per atom.

a b c (Å): 5.7083 5.7083 5.7083
angles (deg): 152.40 131.01 57.15
Closest atoms and distances in Å follow each position.
Fractional positions:
Au  0.7624  0.2624  0.5000  2 Au 2.72, 6 Os 2.75-2.95
Os  0.0228  0.0228  0.0000  4 Os 2.51-2.72, 4 Pt 2.76
Os  0.2329  0.7329  0.5000  4 Os 2.51-2.72, 4 Au 2.75
Pt  0.4819  0.4819  0.0000  2 Pt 2.72, 6 Os 2.76-2.84

Entry 11:
The following is a DFT calculation (PBE) of a relaxed structure of OsPt2Au.

Values from the calculation:
The excess energy over the best structure of this formula in the dataset is 213 meV per atom. The value obtained for the density of states at the Fermi level is 1.23 states/eV/atom. For the formation energy, the calculation gives 0.30 eV per atom. For the total energy, the calculation gives -6.3433 eV per atom.

a b c (Å): 4.6375 2.7598 4.9577
angles (deg): 89.99 90.00 90.00
Closest atoms and distances in Å follow each position.
Fractional positions:
Au  0.0000  0.6246  0.4621  2 Au 2.76, 8 Pt 2.80-2.88, 2 Os 2.87
Os  0.5000  0.6253  0.8026  8 Pt 2.75-2.93, 2 Os 2.76, 2 Au 2.87
Pt  0.0000  0.1249  0.9531  4 Pt 2.76-2.84, 4 Au 2.80-2.88, 4 Os 2.80
Pt  0.5000  0.1252  0.2822  4 Os 2.75-2.93, 4 Pt 2.76-2.84, 4 Au 2.84

Entry 12:
The following is a DFT calculation (PBE) of a relaxed structure of OsPt2Au.

Values from the calculation:
The excess energy over the best structure of this formula in the dataset is 127 meV per atom. The value obtained for the density of states at the Fermi level is 0.88 states/eV/atom. For the formation energy, the calculation gives 0.22 eV per atom. For the total energy, the calculation gives -6.4294 eV per atom.

a b c (Å): 2.8400 3.8950 5.7253
angles (deg): 90.00 90.00 90.00
Closest atoms and distances in Å follow each position.
Fractional positions:
Au  0.5000  0.5000  0.2500  2 Au 2.84, 8 Pt 2.86, 2 Os 2.86
Os  0.5000  0.5000  0.7500  8 Pt 2.75, 2 Os 2.84, 2 Au 2.86
Pt  0.0000  0.0000  0.9824  3 Pt 2.66-2.84, 4 Os 2.75, 4 Au 2.86
Pt  0.0000  0.0000  0.5176  3 Pt 2.66-2.84, 4 Os 2.75, 4 Au 2.86

Entry 13:
The following is a DFT calculation (PBE) of a relaxed structure of Os2PtAu.

Values from the calculation:
The excess energy over the best structure of this formula in the dataset is 372 meV per atom. The value obtained for the density of states at the Fermi level is 1.67 states/eV/atom. For the formation energy, the calculation gives 0.54 eV per atom. For the total energy, the calculation gives -7.4007 eV per atom.

a b c (Å): 2.7807 2.7807 7.9960
angles (deg): 90.00 90.00 90.00
Closest atoms and distances in Å follow each position.
Fractional positions:
Au  0.5000  0.5000  0.7500  4 Au 2.78, 8 Os 2.86
Os  0.0000  0.0000  0.0101  4 Pt 2.75, 4 Os 2.78, 4 Au 2.86
Os  0.0000  0.0000  0.4899  4 Pt 2.75, 4 Os 2.78, 4 Au 2.86
Pt  0.5000  0.5000  0.2500  8 Os 2.75, 4 Pt 2.78

Entry 14:
The following is a DFT calculation (PBE) of a relaxed structure of OsPt2Au.

Values from the calculation:
The excess energy over the best structure of this formula in the dataset is 0 meV per atom. The value obtained for the density of states at the Fermi level is 0.86 states/eV/atom. For the formation energy, the calculation gives 0.09 eV per atom. For the total energy, the calculation gives -6.5566 eV per atom.

a b c (Å): 9.4566 9.4566 9.4566
angles (deg): 17.02 17.02 17.02
Closest atoms and distances in Å follow each position.
Fractional positions:
Au  0.2500  0.2500  0.2500  6 Au 2.80, 6 Pt 2.94
Os  0.7500  0.7500  0.7500  6 Pt 2.73, 6 Os 2.80
Pt  0.0045  0.0045  0.0045  3 Os 2.73, 6 Pt 2.80, 3 Au 2.94
Pt  0.4955  0.4955  0.4955  3 Os 2.73, 6 Pt 2.80, 3 Au 2.94